(1)
Material: Ce2Er6Tm3Th
Method: DFT, PBE-GGA
State: optimized geometry

Properties
As for the crystal system: monoclinic. The total magnetic moment comes out at 1.13 μB per formula unit. The calculation puts the formation energy at 0.0434 eV per atom.

Cell lengths 6.067, 10.506, 11.596 Å; angles 90.00, 100.05, 90.00 degrees
Space group C2/m (No. 12)
Unique sites:
Ce: 0.000 0.167 0.000 x4
Er: 0.249 0.500 0.751 x4
Er: 0.250 0.166 0.751 x8
Tm: 0.000 0.000 0.500 x2
Tm: 0.000 0.333 0.500 x4
Th: 0.000 0.500 0.000 x2

(2)
Material: CeErThZn
Method: DFT, PBE-GGA
State: optimized geometry

Properties
As for the crystal system: cubic. The total magnetic moment comes out at 0.07 μB per formula unit. The calculation puts the formation energy at 0.1139 eV per atom.

Cell lengths 7.410, 7.410, 7.410 Å; angles 90.00, 90.00, 90.00 degrees
Space group F-43m (No. 216)
Unique sites:
Ce: 0.000 0.000 0.000 x4
Er: 0.250 0.250 0.250 x4
Th: 0.250 0.250 0.750 x4
Zn: 0.000 0.000 0.500 x4

(3)
Material: CeErThZr
Method: DFT, PBE-GGA
State: optimized geometry

Properties
As for the crystal system: cubic. The total magnetic moment comes out at 0.70 μB per formula unit. The calculation puts the formation energy at 0.1899 eV per atom.

Cell lengths 7.712, 7.712, 7.712 Å; angles 90.00, 90.00, 90.00 degrees
Space group F-43m (No. 216)
Unique sites:
Ce: 0.000 0.000 0.000 x4
Er: 0.250 0.250 0.750 x4
Th: 0.000 0.000 0.500 x4
Zr: 0.250 0.250 0.250 x4

(4)
Material: CeErTi4
Method: DFT, PBE-GGA
State: optimized geometry

Properties
As for the crystal system: cubic. The total magnetic moment comes out at 5.18 μB per formula unit. The calculation puts the formation energy at 0.2740 eV per atom.

Cell lengths 8.073, 8.073, 8.073 Å; angles 90.00, 90.00, 90.00 degrees
Space group F-43m (No. 216)
Unique sites:
Ce: 0.000 0.000 0.000 x4
Er: 0.250 0.250 0.750 x4
Ti: 0.125 0.125 0.375 x16